A plane-wave DFT calculation with GGA-PBE was carried out for Sr2PtW after structural relaxation.

Lattice parameters (Å, degrees): 10.2877 10.2877 10.2877 18.45 18.45 18.45
Last column: nearest neighbours and their distance in Å.
Element x y z (fractional)
Sr (0.2457, 0.2457, 0.2457)  3 Pt 3.06, 3 W 3.27, 6 Sr 3.30
Sr (0.7543, 0.7543, 0.7543)  3 Pt 3.06, 3 W 3.27, 6 Sr 3.30
Pt (0.5000, 0.5000, 0.5000)  6 Sr 3.06, 6 Pt 3.30
W (0.0000, 0.0000, 0.0000)  6 Sr 3.27, 6 W 3.30

ΔE to the lowest computed polymorph: 0.536 eV/atom
DFT total energy: -4.79 eV/atom
Symmetry: R-3m (166)
Energy of formation: 0.80 eV/atom

---

A plane-wave DFT calculation with GGA-PBE was carried out for Sr2PtW after structural relaxation.

Lattice parameters (Å, degrees): 5.3241 5.3241 5.3241 60.00 60.00 60.00
Last column: nearest neighbours and their distance in Å.
Element x y z (fractional)
Sr (0.2500, 0.2500, 0.2500)  4 W 3.26, 4 Pt 3.26
Sr (0.7500, 0.7500, 0.7500)  4 W 3.26, 4 Pt 3.26
Pt (0.0000, 0.0000, 0.0000)  8 Sr 3.26
W (0.5000, 0.5000, 0.5000)  8 Sr 3.26

ΔE to the lowest computed polymorph: 0.504 eV/atom
DFT total energy: -4.82 eV/atom
Symmetry: Fm-3m (225)
Energy of formation: 0.76 eV/atom

---

A plane-wave DFT calculation with GGA-PBE was carried out for Sr2PtW after structural relaxation.

Lattice parameters (Å, degrees): 5.8374 5.8374 5.8374 139.20 129.48 66.86
Last column: nearest neighbours and their distance in Å.
Element x y z (fractional)
Sr (0.2251, 0.2251, 0.0000)  2 Pt 2.99, 4 Sr 3.25, 2 W 3.32
Sr (0.7749, 0.7749, 0.0000)  2 Pt 2.99, 4 Sr 3.25, 2 W 3.32
Pt (0.0000, 0.5000, 0.5000)  4 Sr 2.99, 4 W 3.22
W (0.5000, 0.0000, 0.5000)  4 Pt 3.22, 8 Sr 3.32-3.36

ΔE to the lowest computed polymorph: 0.492 eV/atom
DFT total energy: -4.84 eV/atom
Symmetry: Immm (71)
Energy of formation: 0.75 eV/atom

---

A plane-wave DFT calculation with GGA-PBE was carried out for SrPt2W after structural relaxation.

Lattice parameters (Å, degrees): 2.8735 5.0222 5.2177 90.00 94.12 90.00
Last column: nearest neighbours and their distance in Å.
Element x y z (fractional)
Sr (0.0000, 0.0000, 0.0000)  8 Pt 2.84-3.14, 2 Sr 2.87
Pt (0.4588, 0.0000, 0.5007)  4 W 2.81-3.05, 4 Sr 2.84-3.14, 2 Pt 2.87
Pt (0.4834, 0.5000, 0.8971)  3 W 2.77-2.94, 2 Pt 2.87, 4 Sr 2.94-2.95
W (0.8630, 0.5000, 0.4239)  7 Pt 2.77-3.05, 2 W 2.87

ΔE to the lowest computed polymorph: 0.175 eV/atom
DFT total energy: -6.70 eV/atom
Symmetry: Pm (6)
Energy of formation: -0.03 eV/atom

---

A plane-wave DFT calculation with GGA-PBE was carried out for SrPt2W after structural relaxation.

Lattice parameters (Å, degrees): 2.8840 3.7358 7.3768 90.00 90.00 90.00
Last column: nearest neighbours and their distance in Å.
Element x y z (fractional)
Sr (0.0000, 0.0000, 0.0000)  2 Sr 2.88
Pt (0.5000, 0.5000, 0.3098)  4 W 2.75, 3 Pt 2.81-2.88
Pt (0.5000, 0.5000, 0.6902)  4 W 2.75, 3 Pt 2.81-2.88
W (0.0000, 0.0000, 0.5000)  8 Pt 2.75, 2 W 2.88

ΔE to the lowest computed polymorph: 0.000 eV/atom
DFT total energy: -6.88 eV/atom
Symmetry: Pmmm (47)
Energy of formation: -0.20 eV/atom

---

A plane-wave DFT calculation with GGA-PBE was carried out for Sr2PtW after structural relaxation.

Lattice parameters (Å, degrees): 5.2248 5.2248 3.8776 90.00 90.00 98.37
Last column: nearest neighbours and their distance in Å.
Element x y z (fractional)
Sr (0.0000, 0.5000, 0.0000)  4 Pt 3.25, 4 W 3.25, 2 Sr 3.42
Sr (0.5000, 0.0000, 0.0000)  4 Pt 3.25, 4 W 3.25, 2 Sr 3.42
Pt (0.0000, 0.0000, 0.5000)  8 Sr 3.25, 2 W 3.42
W (0.5000, 0.5000, 0.5000)  8 Sr 3.25, 2 Pt 3.42

ΔE to the lowest computed polymorph: 0.442 eV/atom
DFT total energy: -4.89 eV/atom
Symmetry: Cmmm (65)
Energy of formation: 0.70 eV/atom

---

A plane-wave DFT calculation with GGA-PBE was carried out for SrPt2W after structural relaxation.

Lattice parameters (Å, degrees): 5.2385 5.2385 5.2385 135.20 117.82 79.84
Last column: nearest neighbours and their distance in Å.
Element x y z (fractional)
Sr (0.0000, 0.0000, 0.0000)  8 Pt 3.14, 4 W 3.36
Pt (0.3019, 0.8019, 0.5000)  2 W 2.55
Pt (0.6981, 0.1981, 0.5000)  2 W 2.55
W (0.5000, 0.5000, 0.0000)  4 Pt 2.55

ΔE to the lowest computed polymorph: 0.409 eV/atom
DFT total energy: -6.47 eV/atom
Symmetry: Immm (71)
Energy of formation: 0.21 eV/atom

---

A plane-wave DFT calculation with GGA-PBE was carried out for SrPt2W after structural relaxation.

Lattice parameters (Å, degrees): 6.3695 6.3695 6.3695 107.02 107.02 114.49
Last column: nearest neighbours and their distance in Å.
Element x y z (fractional)
Sr (0.0000, 0.0000, 0.0000)  8 Pt 3.24-3.46, 2 W 3.45
Sr (0.7500, 0.2500, 0.5000)  8 Pt 3.24-3.46, 2 W 3.45
Pt (0.2033, 0.1250, 0.5783)  2 W 2.45
Pt (0.3750, 0.7967, 0.9217)  2 W 2.45
Pt (0.5467, 0.6250, 0.4217)  2 W 2.45
Pt (0.8750, 0.4533, 0.0783)  2 W 2.45
W (0.2500, 0.7500, 0.5000)  4 Pt 2.45
W (0.5000, 0.5000, 0.0000)  4 Pt 2.45

ΔE to the lowest computed polymorph: 0.411 eV/atom
DFT total energy: -6.47 eV/atom
Symmetry: I-42d (122)
Energy of formation: 0.21 eV/atom

---

A plane-wave DFT calculation with GGA-PBE was carried out for SrPt2W after structural relaxation.

Lattice parameters (Å, degrees): 5.3655 5.3655 5.3655 135.09 135.09 65.39
Last column: nearest neighbours and their distance in Å.
Element x y z (fractional)
Sr (0.0000, 0.0000, 0.0000)  8 Pt 2.90-3.05, 4 W 3.05
Pt (0.5000, 0.5000, 0.0000)  4 Sr 2.90, 4 Pt 3.05, 4 W 3.05
Pt (0.7500, 0.2500, 0.5000)  4 W 2.90, 4 Pt 3.05, 4 Sr 3.05
W (0.2500, 0.7500, 0.5000)  8 Pt 2.90-3.05, 4 Sr 3.05

ΔE to the lowest computed polymorph: 0.612 eV/atom
DFT total energy: -6.27 eV/atom
Symmetry: I-4m2 (119)
Energy of formation: 0.41 eV/atom

---

A plane-wave DFT calculation with GGA-PBE was carried out for SrPt2W after structural relaxation.

Lattice parameters (Å, degrees): 3.3616 3.3616 7.3342 90.00 90.00 90.00
Last column: nearest neighbours and their distance in Å.
Element x y z (fractional)
Sr (0.0000, 0.0000, 0.0000)  4 Pt 3.18, 4 Sr 3.36, 4 W 3.46
Pt (0.0000, 0.0000, 0.4975)  4 W 2.63, 4 Pt 2.85
Pt (0.5000, 0.5000, 0.7116)  1 W 2.70, 4 Pt 2.85
W (0.5000, 0.5000, 0.3431)  5 Pt 2.63-2.70

ΔE to the lowest computed polymorph: 0.362 eV/atom
DFT total energy: -6.52 eV/atom
Symmetry: P4mm (99)
Energy of formation: 0.16 eV/atom

---

A plane-wave DFT calculation with GGA-PBE was carried out for Sr2PtW after structural relaxation.

Lattice parameters (Å, degrees): 5.5135 5.5135 5.5135 126.94 126.94 78.35
Last column: nearest neighbours and their distance in Å.
Element x y z (fractional)
Sr (0.2500, 0.7500, 0.5000)  4 W 3.26, 4 Pt 3.26, 4 Sr 3.48
Sr (0.7500, 0.2500, 0.5000)  4 W 3.26, 4 Pt 3.26, 4 Sr 3.48
Pt (0.0000, 0.0000, 0.0000)  8 Sr 3.26, 4 W 3.48
W (0.5000, 0.5000, 0.0000)  8 Sr 3.26, 4 Pt 3.48

ΔE to the lowest computed polymorph: 0.499 eV/atom
DFT total energy: -4.83 eV/atom
Symmetry: I4/mmm (139)
Energy of formation: 0.76 eV/atom

---

A plane-wave DFT calculation with GGA-PBE was carried out for SrPt2W after structural relaxation.

Lattice parameters (Å, degrees): 2.8714 4.1164 6.9007 90.00 90.00 90.00
Last column: nearest neighbours and their distance in Å.
Element x y z (fractional)
Sr (0.0000, 0.0000, 0.0000)  2 Sr 2.87, 4 Pt 3.12
Pt (0.0000, 0.0000, 0.4995)  4 W 2.70, 6 Pt 2.87-2.97
Pt (0.5000, 0.5000, 0.7309)  1 W 2.58, 2 Pt 2.87
W (0.5000, 0.5000, 0.3567)  5 Pt 2.58-2.70, 2 W 2.87

ΔE to the lowest computed polymorph: 0.311 eV/atom
DFT total energy: -6.57 eV/atom
Symmetry: Pmm2 (25)
Energy of formation: 0.11 eV/atom